An optimized crystal structure of MnSi2H2, computed with PBE-GGA.

Geometry as CIF:
```
data_MnSi2H2
_chemical_formula_sum 'Mn2 Si4 H4'
_symmetry_space_group_name_H-M 'I 4/m m m'
_symmetry_Int_Tables_number 139
_symmetry_space_group_name_Hall '-I 4 2'
_cell_length_a 4.256
_cell_length_b 4.256
_cell_length_c 4.875
_cell_angle_alpha 90.00
_cell_angle_beta 90.00
_cell_angle_gamma 90.00
loop_
_atom_site_label
_atom_site_type_symbol
_atom_site_fract_x
_atom_site_fract_y
_atom_site_fract_z
Mn1 Mn 0.000 0.000 0.000
Si1 Si 0.000 0.500 0.250
H1 H 0.000 0.000 0.324
```

An optimized crystal structure of Mn2SiTcH, computed with PBE-GGA.

Geometry as CIF:
```
data_Mn2SiTcH
_chemical_formula_sum 'Mn2 Si1 Tc1 H1'
_symmetry_space_group_name_H-M 'P 4/m m m'
_symmetry_Int_Tables_number 123
_symmetry_space_group_name_Hall '-P 4 2'
_cell_length_a 3.693
_cell_length_b 3.693
_cell_length_c 3.911
_cell_angle_alpha 90.00
_cell_angle_beta 90.00
_cell_angle_gamma 90.00
loop_
_atom_site_label
_atom_site_type_symbol
_atom_site_fract_x
_atom_site_fract_y
_atom_site_fract_z
Mn1 Mn 0.000 0.500 0.000
Si1 Si 0.000 0.000 0.500
Tc1 Tc 0.500 0.500 0.500
H1 H 0.500 0.500 0.000
```

An optimized crystal structure of Mn2SiTcH, computed with PBE-GGA.

Geometry as CIF:
```
data_Mn2SiTcH
_chemical_formula_sum 'Mn2 Si1 Tc1 H1'
_symmetry_space_group_name_H-M 'P 4/m m m'
_symmetry_Int_Tables_number 123
_symmetry_space_group_name_Hall '-P 4 2'
_cell_length_a 4.641
_cell_length_b 4.641
_cell_length_c 3.243
_cell_angle_alpha 90.00
_cell_angle_beta 90.00
_cell_angle_gamma 90.00
loop_
_atom_site_label
_atom_site_type_symbol
_atom_site_fract_x
_atom_site_fract_y
_atom_site_fract_z
Mn1 Mn 0.000 0.500 0.000
Si1 Si 0.000 0.000 0.500
Tc1 Tc 0.500 0.500 0.000
H1 H 0.500 0.500 0.500
```

An optimized crystal structure of Ti2MnSiH, computed with PBE-GGA.

Geometry as CIF:
```
data_Ti2MnSiH
_chemical_formula_sum 'Ti2 Mn1 Si1 H1'
_symmetry_space_group_name_H-M 'P 4/m m m'
_symmetry_Int_Tables_number 123
_symmetry_space_group_name_Hall '-P 4 2'
_cell_length_a 4.002
_cell_length_b 4.002
_cell_length_c 3.615
_cell_angle_alpha 90.00
_cell_angle_beta 90.00
_cell_angle_gamma 90.00
loop_
_atom_site_label
_atom_site_type_symbol
_atom_site_fract_x
_atom_site_fract_y
_atom_site_fract_z
Ti1 Ti 0.000 0.500 0.000
Mn1 Mn 0.000 0.000 0.500
Si1 Si 0.500 0.500 0.500
H1 H 0.000 0.000 0.000
```

An optimized crystal structure of Mn2VSiH, computed with PBE-GGA.

Geometry as CIF:
```
data_Mn2VSiH
_chemical_formula_sum 'Mn2 V1 Si1 H1'
_symmetry_space_group_name_H-M 'P 4/m m m'
_symmetry_Int_Tables_number 123
_symmetry_space_group_name_Hall '-P 4 2'
_cell_length_a 3.687
_cell_length_b 3.687
_cell_length_c 3.725
_cell_angle_alpha 90.00
_cell_angle_beta 90.00
_cell_angle_gamma 90.00
loop_
_atom_site_label
_atom_site_type_symbol
_atom_site_fract_x
_atom_site_fract_y
_atom_site_fract_z
Mn1 Mn 0.000 0.500 0.000
V1 V 0.000 0.000 0.500
Si1 Si 0.500 0.500 0.500
H1 H 0.000 0.000 0.000
```

An optimized crystal structure of MnV2SiH, computed with PBE-GGA.

Geometry as CIF:
```
data_MnV2SiH
_chemical_formula_sum 'Mn1 V2 Si1 H1'
_symmetry_space_group_name_H-M 'P 4/m m m'
_symmetry_Int_Tables_number 123
_symmetry_space_group_name_Hall '-P 4 2'
_cell_length_a 3.728
_cell_length_b 3.728
_cell_length_c 3.784
_cell_angle_alpha 90.00
_cell_angle_beta 90.00
_cell_angle_gamma 90.00
loop_
_atom_site_label
_atom_site_type_symbol
_atom_site_fract_x
_atom_site_fract_y
_atom_site_fract_z
Mn1 Mn 0.000 0.000 0.000
V1 V 0.000 0.500 0.500
Si1 Si 0.500 0.500 0.000
H1 H 0.000 0.000 0.500
```

Listing total energy for the structures above in their given order: -53.22, -38.27, -33.14, -36.01, -37.52, -37.70 eV/cell.